Record 1
Material: In5Hg6Pb2
Method: DFT, PBE
State: optimized geometry

The value obtained for the final energy is -22.60 eV for the cell shown.

The structure belongs to space group P-1 (No. 2); the cell edges are 3.3885, 9.2920 and 11.6057 Å and the angles 79.18°, 86.09° and 88.83°. The asymmetric unit holds In at (0.0000, 0.0000, 0.0000), In at (0.2060, 0.8725, 0.5840), In at (0.2072, 0.4422, 0.3422), Hg at (0.2255, 0.6862, 0.8583), Hg at (0.2786, 0.2889, 0.6044), Hg at (0.3725, 0.9821, 0.2352) and Pb at (0.4242, 0.3214, 0.8934).

---

Record 2
Material: K7Si6
Method: DFT, PBE
State: optimized geometry

The value obtained for the final energy is -97.10 eV for the cell shown.

The structure belongs to space group R-3m (No. 166, hexagonal axes); the cell edges are 6.9703, 6.9703 and 35.4125 Å and the angles 90.00°, 90.00° and 120.00°. The asymmetric unit holds K at (0.0000, 0.0000, 0.0000), K at (0.0124, 0.5062, 0.4241), Si at (0.0000, 0.0000, 0.1650), Si at (0.0000, 0.0000, 0.3318) and Si at (0.0000, 0.0000, 0.3932).

---

Record 3
Material: ZnCd2Ru
Method: DFT, PBE
State: optimized geometry

The value obtained for the final energy is -11.92 eV for the cell shown.

The structure belongs to space group P4/mmm (No. 123); the cell edges are 4.0458, 4.0458 and 4.1525 Å and the angles 90.00°, 90.00° and 90.00°. The asymmetric unit holds Zn at (0.0000, 0.0000, 0.0000), Cd at (0.0000, 0.5000, 0.5000) and Ru at (0.5000, 0.5000, 0.0000).

---

Record 4
Material: Mg2RuSe
Method: DFT, PBE
State: optimized geometry

The value obtained for the final energy is -16.41 eV for the cell shown.

The structure belongs to space group P4mm (No. 99); the cell edges are 3.1056, 3.1056 and 7.7991 Å and the angles 90.00°, 90.00° and 90.00°. The asymmetric unit holds Mg at (0.0000, 0.0000, 0.0000), Mg at (0.5000, 0.5000, 0.3007), Ru at (0.0000, 0.0000, 0.5432) and Se at (0.5000, 0.5000, 0.7074).

---

Record 5
Material: KUBO5
Method: DFT, PBE
State: optimized geometry

The value obtained for the final energy is -257.44 eV for the cell shown.

The structure belongs to space group C2/c (No. 15); the cell edges are 6.9514, 8.9803 and 7.8626 Å and the angles 90.00°, 115.61° and 90.00°. The asymmetric unit holds K at (0.0000, 0.0920, 0.2500), U at (0.2500, 0.2500, 0.0000), B at (0.0000, 0.4407, 0.2500), O at (0.0000, 0.1820, 0.7500), O at (0.0623, 0.3427, 0.1272) and O at (0.1883, 0.4597, 0.8681).

---

Record 6
Material: Ac3Ge
Method: DFT, PBE
State: optimized geometry

The value obtained for the final energy is -17.64 eV for the cell shown. The calculation puts the energy above the lowest structure with this stoichiometry at 197 meV per atom.

The structure belongs to space group Pm-3m (No. 221); the cell edges are 5.1921, 5.1921 and 5.1921 Å and the angles 90.00°, 90.00° and 90.00°. The asymmetric unit holds Ac at (0.0000, 0.0000, 0.5000) and Ge at (0.5000, 0.5000, 0.5000).